(1)
DFT (PBE) results for a relaxed structure of Li2In2Ir.

The energy above the most stable polymorph in this dataset comes out at 0.170 eV per atom. As for the energy of formation: 3 meV per atom. The total energy comes out at -3.6302 eV per atom.

Cell lengths 6.9990, 6.9990, 3.2394 Å; angles 90.00, 90.00, 90.00 degrees
Last column: nearest neighbours and their distance in Å.
Atoms (fractional coordinates):
Ir (0.5000, 0.5000, 0.0000)  4 Li 2.75, 8 In 3.06
Li (0.6283, 0.1283, 0.0000)  1 Li 2.54, 6 In 2.56-2.67, 2 Ir 2.75
In (0.8282, 0.3282, 0.5000)  6 Li 2.56-2.67
Li (0.3717, 0.8717, 0.0000)  1 Li 2.54, 6 In 2.56-2.67, 2 Ir 2.75
Ir (0.0000, 0.0000, 0.0000)  4 Li 2.75, 8 In 3.06
In (0.3282, 0.1718, 0.5000)  6 Li 2.56-2.67
In (0.6718, 0.8282, 0.5000)  6 Li 2.56-2.67
In (0.1718, 0.6718, 0.5000)  6 Li 2.56-2.67
Li (0.1283, 0.3717, 0.0000)  1 Li 2.54, 6 In 2.56-2.67, 2 Ir 2.75
Li (0.8717, 0.6283, 0.0000)  1 Li 2.54, 6 In 2.56-2.67, 2 Ir 2.75

(2)
DFT (PBE) results for a relaxed structure of Li2In2Ir.

The energy above the most stable polymorph in this dataset comes out at 0.149 eV per atom. As for the energy of formation: -18 meV per atom. The total energy comes out at -3.6512 eV per atom.

Cell lengths 7.2507, 7.2507, 3.2832 Å; angles 90.00, 90.00, 90.00 degrees
Last column: nearest neighbours and their distance in Å.
Atoms (fractional coordinates):
In (0.3499, 0.8499, 0.0000)  6 Li 2.58-2.76, 2 Ir 2.76
Ir (0.0000, 0.0000, 0.0000)  4 In 2.76
Li (0.3441, 0.1559, 0.5000)  6 In 2.58-2.76
Ir (0.5000, 0.5000, 0.0000)  4 In 2.76
In (0.1501, 0.3499, 0.0000)  6 Li 2.58-2.76, 2 Ir 2.76
Li (0.6559, 0.8441, 0.5000)  6 In 2.58-2.76
Li (0.8441, 0.3441, 0.5000)  6 In 2.58-2.76
In (0.6501, 0.1501, 0.0000)  6 Li 2.58-2.76, 2 Ir 2.76
Li (0.1559, 0.6559, 0.5000)  6 In 2.58-2.76
In (0.8499, 0.6501, 0.0000)  6 Li 2.58-2.76, 2 Ir 2.76

(3)
DFT (PBE) results for a relaxed structure of Li4InIr.

The energy above the most stable polymorph in this dataset comes out at 0.012 eV per atom. As for the energy of formation: -193 meV per atom. The total energy comes out at -3.4022 eV per atom.

Cell lengths 4.3287, 4.9926, 10.5168 Å; angles 68.92, 90.00, 115.69 degrees
Last column: nearest neighbours and their distance in Å.
Atoms (fractional coordinates):
Li (0.9880, 0.4759, 0.1598)  2 Li 2.53-2.64, 2 Ir 2.72
Li (0.5121, 0.5241, 0.3402)  2 Li 2.53-2.64, 2 Ir 2.72
Ir (0.0000, 0.5000, 0.5000)  10 Li 2.66-2.95, 2 In 2.69
Li (0.2407, 0.9816, 0.9373)  4 Li 2.53-2.64, 1 Ir 2.66
Li (0.2591, 0.0184, 0.5627)  4 Li 2.53-2.64, 1 Ir 2.66
Ir (0.5000, 0.5000, 0.0000)  10 Li 2.66-2.95, 2 In 2.69
In (0.2499, 0.0000, 0.2500)  2 Ir 2.69, 10 Li 2.87-2.92
Li (0.7409, 0.9816, 0.4373)  4 Li 2.53-2.64, 1 Ir 2.66
Li (0.4879, 0.4759, 0.6598)  2 Li 2.53-2.64, 2 Ir 2.72
In (0.7501, 0.0000, 0.7500)  2 Ir 2.69, 10 Li 2.87-2.92
Li (0.7593, 0.0184, 0.0627)  4 Li 2.53-2.64, 1 Ir 2.66
Li (0.0120, 0.5241, 0.8402)  2 Li 2.53-2.64, 2 Ir 2.72

(4)
DFT (PBE) results for a relaxed structure of LiInIr.

As for the energy of formation: -180 meV per atom. The total energy comes out at -4.6845 eV per atom.

Cell lengths 4.9737, 4.9737, 4.9737 Å; angles 141.71, 141.71, 55.27 degrees
Last column: nearest neighbours and their distance in Å.
Atoms (fractional coordinates):
In (0.9982, 0.9982, 0.0000)  5 Ir 2.78-2.85, 5 Li 2.81
Li (0.6797, 0.6797, 0.0000)  4 Ir 2.63, 5 In 2.81
Ir (0.3221, 0.3221, 0.0000)  4 Li 2.63, 5 In 2.78-2.85

(5)
DFT (PBE) results for a relaxed structure of LiInIr.

As for the energy of formation: -183 meV per atom. The total energy comes out at -4.6877 eV per atom.

Cell lengths 4.3141, 4.3141, 2.9254 Å; angles 90.00, 90.00, 120.00 degrees
Last column: nearest neighbours and their distance in Å.
Atoms (fractional coordinates):
Li (0.3333, 0.6667, 0.6678)  3 In 2.62, 3 Ir 2.62, 2 Li 2.93
Ir (0.6667, 0.3333, 0.3877)  3 Li 2.62, 3 In 2.81, 2 Ir 2.93
In (0.0000, 0.0000, 0.9445)  3 Li 2.62, 3 Ir 2.81, 2 In 2.93

(6)
DFT (PBE) results for a relaxed structure of LiInIr2.

As for the energy of formation: -28 meV per atom. The total energy comes out at -5.6220 eV per atom.

Cell lengths 2.8299, 3.8978, 5.6239 Å; angles 90.00, 90.00, 90.00 degrees
Last column: nearest neighbours and their distance in Å.
Atoms (fractional coordinates):
Ir (0.5000, 0.5000, 0.2519)  6 Ir 2.73-2.83, 4 Li 2.74, 2 In 2.76-2.87
Ir (0.0000, 0.0000, 0.0236)  1 Li 2.58, 6 Ir 2.73-2.83, 4 In 2.88
Li (0.0000, 0.0000, 0.4826)  5 Ir 2.58-2.74, 4 In 2.82, 2 Li 2.83
In (0.5000, 0.5000, 0.7419)  6 Ir 2.76-2.88, 4 Li 2.82, 2 In 2.83

In order of appearance, M_tot = 0.00 0.00 0.00 0.00 0.00 0.00 μB per formula unit.